Material: Dy5BiPd2
Method: DFT, PBE
State: optimized geometry

abc: 8.8104 8.8104 8.8104
angles: 127.10 127.10 78.09
With the nearest neighbours (Å) after each atom.
Atoms (fractional coordinates):
1 Bi 0.2500 0.2500 0.0000  10 Dy 3.33-3.42
2 Bi 0.7500 0.7500 0.0000  10 Dy 3.33-3.42
3 Dy 0.2948 0.4852 0.5000  3 Pd 2.99-3.01, 2 Bi 3.33
4 Dy 0.7052 0.5148 0.5000  3 Pd 2.99-3.01, 2 Bi 3.33
5 Dy 0.4852 0.9852 0.1904  3 Pd 2.99-3.01, 2 Bi 3.33
6 Dy 0.0000 0.0000 0.0000  4 Pd 3.05
7 Dy 0.0148 0.2052 0.5000  3 Pd 2.99-3.01, 2 Bi 3.33
8 Dy 0.5148 0.0148 0.8096  3 Pd 2.99-3.01, 2 Bi 3.33
9 Dy 0.9852 0.7948 0.5000  3 Pd 2.99-3.01, 2 Bi 3.33
10 Dy 0.2052 0.7052 0.1904  3 Pd 2.99-3.01, 2 Bi 3.33
11 Dy 0.7948 0.2948 0.8096  3 Pd 2.99-3.01, 2 Bi 3.33
12 Dy 0.5000 0.5000 0.0000  4 Pd 3.05
13 Pd 0.1366 0.6366 0.7732  8 Dy 2.99-3.05, 1 Pd 3.03
14 Pd 0.8634 0.3634 0.2268  8 Dy 2.99-3.05, 1 Pd 3.03
15 Pd 0.3634 0.1366 0.5000  8 Dy 2.99-3.05, 1 Pd 3.03
16 Pd 0.6366 0.8634 0.5000  8 Dy 2.99-3.05, 1 Pd 3.03

**ΔE_f**: -0.693 eV/atom
**Space-group type**: I4/mcm, No. 140
**V**: 210.8 Å³/f.u.
**Calculated total energy**: -85.6 eV per cell

Material: DyBiPd2
Method: DFT, PBE
State: optimized geometry

abc: 3.6462 3.6462 6.5035
angles: 90.00 90.00 90.00
With the nearest neighbours (Å) after each atom.
Atoms (fractional coordinates):
1 Pd 0.0000 0.0000 0.2281  1 Pd 2.97, 4 Dy 2.97, 4 Bi 3.13
2 Pd 0.0000 0.0000 0.7719  1 Pd 2.97, 4 Dy 2.97, 4 Bi 3.13
3 Bi 0.5000 0.5000 0.5000  8 Pd 3.13, 2 Dy 3.25
4 Dy 0.5000 0.5000 0.0000  8 Pd 2.97, 2 Bi 3.25

**ΔE_f**: -0.648 eV/atom
**Space-group type**: P4/mmm, No. 123
**V**: 86.5 Å³/f.u.
**Calculated total energy**: -21.5 eV per cell

Material: Dy4BiPd
Method: DFT, PBE
State: optimized geometry

abc: 6.1545 6.6646 8.8551
angles: 90.00 110.29 90.00
With the nearest neighbours (Å) after each atom.
Atoms (fractional coordinates):
1 Pd 0.2578 0.2500 0.5675  6 Dy 2.77-2.94
2 Pd 0.7422 0.7500 0.4325  6 Dy 2.77-2.94
3 Dy 0.4276 0.7500 0.5923  1 Pd 2.77
4 Dy 0.9938 0.4989 0.2907  2 Pd 2.85-2.94
5 Dy 0.0062 0.9989 0.7093  2 Pd 2.85-2.94
6 Dy 0.0062 0.5011 0.7093  2 Pd 2.85-2.94
7 Dy 0.5724 0.2500 0.4077  1 Pd 2.77
8 Dy 0.9938 0.0011 0.2907  2 Pd 2.85-2.94
9 Dy 0.6059 0.2500 0.8836  1 Pd 2.87
10 Dy 0.3941 0.7500 0.1164  1 Pd 2.87
11 Bi 0.2108 0.2500 0.0479  9 Dy 3.19-3.50
12 Bi 0.7892 0.7500 0.9521  9 Dy 3.19-3.50

**Energy relative to the lowest polymorph listed for this composition**: 0.000 eV/atom
**ΔE_f**: -0.565 eV/atom
**Space-group type**: P2_1/m, No. 11
**V**: 170.3 Å³/f.u.
**Calculated total energy**: -61.7 eV per cell

Material: DyBi3Pd12
Method: DFT, PBE
State: optimized geometry

abc: 4.1385 4.1385 16.4984
angles: 90.00 90.00 90.00
With the nearest neighbours (Å) after each atom.
Atoms (fractional coordinates):
1 Pd 0.5000 0.5000 0.2526  8 Pd 2.89-2.96, 4 Bi 2.93
2 Pd 0.5000 0.5000 0.7474  8 Pd 2.89-2.96, 4 Bi 2.93
3 Pd 0.5000 0.0000 0.1245  2 Bi 2.90, 2 Dy 2.92, 8 Pd 2.92-2.96
4 Pd 0.5000 0.5000 0.5000  8 Pd 2.92, 4 Bi 2.93
5 Pd 0.5000 0.5000 0.0000  8 Pd 2.92, 4 Dy 2.93
6 Pd 0.0000 0.5000 0.1245  2 Bi 2.90, 2 Dy 2.92, 8 Pd 2.92-2.96
7 Pd 0.5000 0.0000 0.6252  8 Pd 2.89-2.93, 4 Bi 2.92-2.95
8 Pd 0.0000 0.5000 0.6252  8 Pd 2.89-2.93, 4 Bi 2.92-2.95
9 Pd 0.0000 0.5000 0.8755  2 Bi 2.90, 2 Dy 2.92, 8 Pd 2.92-2.96
10 Pd 0.5000 0.0000 0.3748  8 Pd 2.89-2.93, 4 Bi 2.92-2.95
11 Pd 0.5000 0.0000 0.8755  2 Bi 2.90, 2 Dy 2.92, 8 Pd 2.92-2.96
12 Pd 0.0000 0.5000 0.3748  8 Pd 2.89-2.93, 4 Bi 2.92-2.95
13 Bi 0.0000 0.0000 0.5000  12 Pd 2.92-2.93
14 Bi 0.0000 0.0000 0.2475  12 Pd 2.90-2.95
15 Bi 0.0000 0.0000 0.7525  12 Pd 2.90-2.95
16 Dy 0.0000 0.0000 0.0000  12 Pd 2.92-2.93

**ΔE_f**: -0.401 eV/atom
**Space-group type**: P4/mmm, No. 123
**V**: 282.6 Å³/f.u.
**Calculated total energy**: -85.0 eV per cell

Material: Dy12BiPd6
Method: DFT, PBE
State: optimized geometry

abc: 8.6712 8.6712 8.6712
angles: 109.47 109.47 109.47
With the nearest neighbours (Å) after each atom.
Atoms (fractional coordinates):
1 Dy 0.1854 0.6997 0.8851  1 Pd 2.68
2 Dy 0.6997 0.8851 0.1854  1 Pd 2.68
3 Dy 0.6997 0.5143 0.8146  1 Pd 2.68
4 Dy 0.8146 0.3003 0.1149  1 Pd 2.68
5 Dy 0.4857 0.1854 0.3003  1 Pd 2.68
6 Dy 0.3003 0.4857 0.1854  1 Pd 2.68
7 Dy 0.3003 0.1149 0.8146  1 Pd 2.68
8 Dy 0.8851 0.1854 0.6997  1 Pd 2.68
9 Dy 0.1149 0.8146 0.3003  1 Pd 2.68
10 Dy 0.1854 0.3003 0.4857  1 Pd 2.68
11 Dy 0.8146 0.6997 0.5143  1 Pd 2.68
12 Dy 0.5143 0.8146 0.6997  1 Pd 2.68
13 Pd 0.3639 0.5000 0.8639  2 Dy 2.68, 1 Pd 2.72
14 Pd 0.1361 0.6361 0.5000  2 Dy 2.68, 1 Pd 2.72
15 Pd 0.6361 0.5000 0.1361  2 Dy 2.68, 1 Pd 2.72
16 Pd 0.5000 0.8639 0.3639  2 Dy 2.68, 1 Pd 2.72
17 Pd 0.5000 0.1361 0.6361  2 Dy 2.68, 1 Pd 2.72
18 Pd 0.8639 0.3639 0.5000  2 Dy 2.68, 1 Pd 2.72
19 Bi 0.0000 0.0000 0.0000  12 Dy 3.53

**ΔE_f**: -0.647 eV/atom
**Space-group type**: Im-3, No. 204
**V**: 501.9 Å³/f.u.
**Calculated total energy**: -102.5 eV per cell

Material: Dy6BiPd2
Method: DFT, PBE
State: optimized geometry

abc: 8.6597 8.6597 8.6597
angles: 104.85 109.56 114.13
With the nearest neighbours (Å) after each atom.
Atoms (fractional coordinates):
1 Bi 0.0000 0.5000 0.5000  12 Dy 3.41-3.73
2 Bi 0.0000 0.0000 0.0000  8 Dy 3.20-3.30, 2 Pd 3.46
3 Dy 0.4745 0.2920 0.1825  3 Pd 3.01-3.20, 1 Bi 3.30
4 Dy 0.1095 0.2920 0.8175  3 Pd 3.01-3.20, 1 Bi 3.30
5 Dy 0.3059 0.9789 0.6730  3 Pd 2.76-3.00
6 Dy 0.3059 0.6329 0.3270  3 Pd 2.76-3.00
7 Dy 0.6941 0.3671 0.6730  3 Pd 2.76-3.00
8 Dy 0.7952 0.2333 0.0285  1 Pd 2.84
9 Dy 0.8905 0.7080 0.1825  3 Pd 3.01-3.20, 1 Bi 3.30
10 Dy 0.5255 0.7080 0.8175  3 Pd 3.01-3.20, 1 Bi 3.30
11 Dy 0.2048 0.2333 0.4381  1 Pd 2.84
12 Dy 0.2048 0.7667 0.9715  1 Pd 2.84
13 Dy 0.7952 0.7667 0.5619  1 Pd 2.84
14 Dy 0.6941 0.0211 0.3270  3 Pd 2.76-3.00
15 Pd 0.5000 0.6313 0.1313  6 Dy 2.76-3.01, 1 Pd 2.77
16 Pd 0.3469 0.0000 0.3469  6 Dy 2.84-3.00, 1 Pd 3.06
17 Pd 0.6531 0.0000 0.6531  6 Dy 2.84-3.00, 1 Pd 3.06
18 Pd 0.5000 0.3687 0.8687  6 Dy 2.76-3.01, 1 Pd 2.77

**ΔE_f**: -0.567 eV/atom
**Space-group type**: Immm, No. 71
**V**: 248.3 Å³/f.u.
**Calculated total energy**: -94.0 eV per cell

Material: DyBi4Pd15
Method: DFT, PBE
State: optimized geometry

abc: 4.1396 4.1396 20.6281
angles: 90.00 90.00 90.00
With the nearest neighbours (Å) after each atom.
Atoms (fractional coordinates):
1 Pd 0.0000 0.5000 0.0994  2 Bi 2.90, 2 Dy 2.91, 8 Pd 2.91-2.95
2 Pd 0.5000 0.5000 0.3997  8 Pd 2.92-2.93, 4 Bi 2.93
3 Pd 0.5000 0.5000 0.6003  8 Pd 2.92-2.93, 4 Bi 2.93
4 Pd 0.5000 0.0000 0.0994  2 Bi 2.90, 2 Dy 2.91, 8 Pd 2.91-2.95
5 Pd 0.5000 0.5000 0.2016  8 Pd 2.89-2.95, 4 Bi 2.93
6 Pd 0.5000 0.5000 0.0000  8 Pd 2.91, 4 Dy 2.93
7 Pd 0.5000 0.0000 0.7005  8 Pd 2.89-2.93, 4 Bi 2.92-2.95
8 Pd 0.5000 0.0000 0.5000  8 Pd 2.93, 4 Bi 2.93
9 Pd 0.0000 0.5000 0.2995  8 Pd 2.89-2.93, 4 Bi 2.92-2.95
10 Pd 0.0000 0.5000 0.5000  8 Pd 2.93, 4 Bi 2.93
11 Pd 0.0000 0.5000 0.9006  2 Bi 2.90, 2 Dy 2.91, 8 Pd 2.91-2.95
12 Pd 0.5000 0.0000 0.9006  2 Bi 2.90, 2 Dy 2.91, 8 Pd 2.91-2.95
13 Pd 0.0000 0.5000 0.7005  8 Pd 2.89-2.93, 4 Bi 2.92-2.95
14 Pd 0.5000 0.0000 0.2995  8 Pd 2.89-2.93, 4 Bi 2.92-2.95
15 Pd 0.5000 0.5000 0.7984  8 Pd 2.89-2.95, 4 Bi 2.93
16 Dy 0.0000 0.0000 0.0000  12 Pd 2.91-2.93
17 Bi 0.0000 0.0000 0.1978  12 Pd 2.90-2.95
18 Bi 0.0000 0.0000 0.8022  12 Pd 2.90-2.95
19 Bi 0.0000 0.0000 0.6005  12 Pd 2.92-2.93
20 Bi 0.0000 0.0000 0.3995  12 Pd 2.92-2.93

**ΔE_f**: -0.365 eV/atom
**Space-group type**: P4/mmm, No. 123
**V**: 353.5 Å³/f.u.
**Calculated total energy**: -105.3 eV per cell

Material: DyBi2Pd9
Method: DFT, PBE
State: optimized geometry

abc: 4.1340 4.1340 12.3890
angles: 90.00 90.00 90.00
With the nearest neighbours (Å) after each atom.
Atoms (fractional coordinates):
1 Pd 0.5000 0.0000 0.8341  2 Bi 2.90, 2 Dy 2.91, 8 Pd 2.91-2.96
2 Pd 0.0000 0.5000 0.8341  2 Bi 2.90, 8 Pd 2.91-2.96, 2 Dy 2.91
3 Pd 0.0000 0.5000 0.1659  2 Bi 2.90, 8 Pd 2.91-2.96, 2 Dy 2.91
4 Pd 0.5000 0.5000 0.0000  8 Pd 2.91, 4 Dy 2.92
5 Pd 0.0000 0.5000 0.5000  8 Pd 2.90-2.92, 4 Bi 2.95
6 Pd 0.5000 0.5000 0.6637  8 Pd 2.90-2.96, 4 Bi 2.92
7 Pd 0.5000 0.0000 0.5000  8 Pd 2.90-2.92, 4 Bi 2.95
8 Pd 0.5000 0.0000 0.1659  2 Bi 2.90, 2 Dy 2.91, 8 Pd 2.91-2.96
9 Pd 0.5000 0.5000 0.3363  8 Pd 2.90-2.96, 4 Bi 2.92
10 Bi 0.0000 0.0000 0.6696  12 Pd 2.90-2.95
11 Bi 0.0000 0.0000 0.3304  12 Pd 2.90-2.95
12 Dy 0.0000 0.0000 0.0000  12 Pd 2.91-2.92

**ΔE_f**: -0.459 eV/atom
**Space-group type**: P4/mmm, No. 123
**V**: 211.7 Å³/f.u.
**Calculated total energy**: -64.6 eV per cell

Material: Dy6Bi2Pd
Method: DFT, PBE
State: optimized geometry

abc: 6.4782 7.9822 10.3140
angles: 90.00 91.37 90.00
With the nearest neighbours (Å) after each atom.
Atoms (fractional coordinates):
1 Dy 0.8739 0.6980 0.9594  1 Pd 2.93, 2 Bi 3.17-3.28
2 Dy 0.3599 0.5248 0.7441  1 Pd 2.78
3 Dy 0.1401 0.0248 0.7559  1 Pd 2.78
4 Dy 0.6401 0.4752 0.2559  1 Pd 2.78
5 Dy 0.8687 0.6708 0.5420  1 Pd 2.80
6 Dy 0.1261 0.3020 0.0406  1 Pd 2.93, 2 Bi 3.17-3.28
7 Dy 0.3687 0.8292 0.0420  1 Pd 2.80
8 Dy 0.6261 0.1980 0.5406  1 Pd 2.93, 2 Bi 3.17-3.28
9 Dy 0.3739 0.8020 0.4594  1 Pd 2.93, 2 Bi 3.17-3.28
10 Dy 0.6313 0.1708 0.9580  1 Pd 2.80
11 Dy 0.8599 0.9752 0.2441  1 Pd 2.78
12 Dy 0.1313 0.3292 0.4580  1 Pd 2.80
13 Bi 0.6029 0.8832 0.7439  8 Dy 3.17-3.49
14 Bi 0.3971 0.1168 0.2561  8 Dy 3.17-3.49
15 Bi 0.8971 0.3832 0.7561  8 Dy 3.17-3.49
16 Bi 0.1029 0.6168 0.2439  8 Dy 3.17-3.49
17 Pd 0.5000 0.5000 0.0000  6 Dy 2.78-2.93
18 Pd 0.0000 0.0000 0.5000  6 Dy 2.78-2.93

**ΔE_f**: -0.509 eV/atom
**Space-group type**: P2_1/c, No. 14
**V**: 266.6 Å³/f.u.
**Calculated total energy**: -90.3 eV per cell

Material: Dy8Bi2Pd3
Method: DFT, PBE
State: optimized geometry

abc: 6.9320 7.9854 8.9653
angles: 116.45 104.24 90.00
With the nearest neighbours (Å) after each atom.
Atoms (fractional coordinates):
1 Dy 0.5980 0.1512 0.7937  2 Pd 2.82
2 Dy 0.1428 0.4096 0.8192  2 Pd 2.75
3 Dy 0.4020 0.3575 0.2063  2 Pd 2.82
4 Dy 0.0954 0.9029 0.8058  3 Pd 2.78-2.81
5 Dy 0.8572 0.5904 0.1808  2 Pd 2.75
6 Dy 0.9046 0.0971 0.1942  3 Pd 2.78-2.81
7 Dy 0.4020 0.8488 0.2063  2 Pd 2.82
8 Dy 0.5980 0.6425 0.7937  2 Pd 2.82
9 Bi 0.6701 0.7499 0.4998  6 Dy 3.17-3.28
10 Bi 0.3299 0.2501 0.5002  6 Dy 3.17-3.28
11 Pd 0.0000 0.2599 0.0000  6 Dy 2.75-2.82
12 Pd 0.0000 0.7401 0.0000  6 Dy 2.75-2.82
13 Pd 0.5000 0.0000 0.0000  6 Dy 2.81-2.82

**ΔE_f**: -0.485 eV/atom
**Space-group type**: C2/m, No. 12
**V**: 427.2 Å³/f.u.
**Calculated total energy**: -66.5 eV per cell